Entry from Alexandria via LeMat-Bulk: Sm2GeB2O8 after structural relaxation (PBEsol).

extended XYZ file:
```
52
Lattice="13.5770 0.0000 0.0000 0.0000 4.4267 0.0000 0.0000 0.0000 9.3419" Properties=species:S:1:pos:R:3 pbc="T T T"
Sm 1.9080 0.1822 0.2346
Sm 1.9080 4.2445 4.9055
Sm 4.8805 2.0312 4.9055
Sm 4.8805 2.3955 0.2346
Sm 8.6965 2.0312 9.1073
Sm 8.6965 2.3955 4.4364
Sm 11.6690 0.1822 4.4364
Sm 11.6690 4.2445 9.1073
Ge 0.0000 1.8863 7.0064
Ge 0.0000 2.5404 2.3355
Ge 6.7885 0.3271 2.3355
Ge 6.7885 4.0996 7.0064
B 2.7177 2.0740 2.7650
B 2.7177 2.3527 7.4360
B 4.0708 0.1393 7.4360
B 4.0708 4.2873 2.7650
B 9.5062 0.1393 6.5769
B 9.5062 4.2873 1.9059
B 10.8593 2.0740 1.9059
B 10.8593 2.3527 6.5769
O 0.0587 0.9040 8.4301
O 0.0587 3.5227 3.7591
O 1.4517 1.5089 2.1743
O 1.4517 2.9178 6.8452
O 2.6081 2.0482 4.2042
O 2.6081 2.3785 8.8751
O 2.9343 0.9685 6.9154
O 2.9343 3.4582 2.2445
O 3.8542 1.2449 2.2445
O 3.8542 3.1818 6.9154
O 4.1804 0.1652 8.8751
O 4.1804 4.2615 4.2042
O 5.3368 0.7045 6.8452
O 5.3368 3.7222 2.1743
O 6.7298 1.3093 3.7591
O 6.7298 3.1173 8.4301
O 6.8472 1.3093 0.9118
O 6.8472 3.1173 5.5828
O 8.2402 0.7045 7.1676
O 8.2402 3.7222 2.4967
O 9.3966 0.1652 5.1377
O 9.3966 4.2615 0.4668
O 9.7228 1.2449 2.4265
O 9.7228 3.1818 7.0974
O 10.6427 0.9685 7.0974
O 10.6427 3.4582 2.4265
O 10.9689 2.0482 0.4668
O 10.9689 2.3785 5.1377
O 12.1253 1.5089 2.4967
O 12.1253 2.9178 7.1676
O 13.5183 0.9040 5.5828
O 13.5183 3.5227 0.9118
```


Entry from Alexandria via LeMat-Bulk: SrGe2B2O8 after structural relaxation (PBEsol).

extended XYZ file:
```
52
Lattice="8.2797 0.0000 0.0000 0.0000 8.1093 0.0000 0.0000 0.0000 9.1669" Properties=species:S:1:pos:R:3 pbc="T T T"
Sr 0.9205 2.0273 0.6432
Sr 3.2194 6.0820 5.2266
Sr 5.0603 2.0273 3.9403
Sr 7.3592 6.0820 8.5238
Ge 0.4264 0.4255 6.3206
Ge 0.4264 3.6292 6.3206
Ge 3.7134 4.4802 1.7371
Ge 3.7134 7.6838 1.7371
Ge 4.5663 0.4255 7.4298
Ge 4.5663 3.6292 7.4298
Ge 7.8533 4.4802 2.8464
Ge 7.8533 7.6838 2.8464
B 1.9985 0.6925 3.8333
B 1.9985 3.3622 3.8333
B 2.1414 4.7471 8.4168
B 2.1414 7.4169 8.4168
B 6.1383 0.6925 0.7501
B 6.1383 3.3622 0.7501
B 6.2812 4.7471 5.3336
B 6.2812 7.4169 5.3336
O 0.2646 6.0820 3.0259
O 0.9032 0.7060 2.8703
O 0.9032 3.3487 2.8703
O 1.0238 0.2210 7.9606
O 1.0238 3.8336 7.9606
O 1.5877 6.0820 8.5870
O 1.6134 0.0112 5.1079
O 1.6134 4.0434 5.1079
O 2.5265 4.0659 0.5244
O 2.5265 8.0981 0.5244
O 2.5521 2.0273 4.0035
O 3.1161 4.2757 3.3772
O 3.1161 7.8883 3.3772
O 3.2367 4.7606 7.4537
O 3.2367 7.4034 7.4537
O 3.8753 2.0273 7.6094
O 4.4044 6.0820 1.5575
O 5.0430 0.7060 1.7132
O 5.0430 3.3487 1.7132
O 5.1636 0.2210 5.7898
O 5.1636 3.8336 5.7898
O 5.7276 6.0820 5.1634
O 5.7532 0.0112 8.6425
O 5.7532 4.0434 8.6425
O 6.6663 4.0659 4.0590
O 6.6663 8.0981 4.0590
O 6.6919 2.0273 0.5799
O 7.2559 4.2757 1.2063
O 7.2559 7.8883 1.2063
O 7.3765 4.7606 6.2967
O 7.3765 7.4034 6.2967
O 8.0151 2.0273 6.1410
```


Entry from Alexandria via LeMat-Bulk: TiGeB2O after structural relaxation (PBEsol).

extended XYZ file:
```
5
Lattice="3.6544 0.0000 0.0000 0.0000 3.6544 0.0000 0.0000 0.0000 4.0501" Properties=species:S:1:pos:R:3 pbc="T T T"
Ti 0.0000 0.0000 0.0000
Ge 1.8272 1.8272 0.0000
B 0.0000 1.8272 2.0250
B 1.8272 0.0000 2.0250
O 1.8272 1.8272 2.0250
```


Entry from Alexandria via LeMat-Bulk: GeB2P after structural relaxation (PBEsol).

Results
Energy of formation from the pure elements: 31.46 kcal/mol of atoms

extended XYZ file:
```
4
Lattice="0.0000 2.7931 2.7931 2.7931 0.0000 2.7931 2.7931 2.7931 0.0000" Properties=species:S:1:pos:R:3 pbc="T T T"
Ge 0.0000 0.0000 0.0000
B 1.3965 1.3965 1.3965
B 4.1896 4.1896 4.1896
P 2.7931 2.7931 2.7931
```


Entry from Alexandria via LeMat-Bulk: Sr2GeBP after structural relaxation (PBEsol).

Results
Energy of formation from the pure elements: -4.49 kcal/mol of atoms

extended XYZ file:
```
5
Lattice="5.6034 0.0000 0.0000 0.0000 5.6034 0.0000 0.0000 0.0000 3.7205" Properties=species:S:1:pos:R:3 pbc="T T T"
Sr 0.0000 2.8017 0.0000
Sr 2.8017 0.0000 0.0000
Ge 0.0000 0.0000 1.8603
B 0.0000 0.0000 0.0000
P 2.8017 2.8017 1.8603
```


Entry from Alexandria via LeMat-Bulk: GeBPd2 after structural relaxation (PBEsol).

Results
Energy of formation from the pure elements: 5.16 kcal/mol of atoms

extended XYZ file:
```
4
Lattice="0.0000 2.9405 2.9405 2.9405 0.0000 2.9405 2.9405 2.9405 0.0000" Properties=species:S:1:pos:R:3 pbc="T T T"
Ge 0.0000 0.0000 0.0000
B 2.9405 2.9405 2.9405
Pd 1.4703 1.4703 1.4703
Pd 4.4108 4.4108 4.4108
```


Number 1: electronic total energy -8.289 eV/atom. Number 2: electronic total energy -7.492 eV/atom. Number 3: electronic total energy -5.826 eV/atom. Number 4: electronic total energy -4.827 eV/atom. Number 5: electronic total energy -4.480 eV/atom. Number 6: electronic total energy -5.744 eV/atom.